Entry 1:
Material: Y6Te2Pd
Method: DFT, GGA-PBEsol
State: relaxed

The structure in POSCAR format:
```
Y6Te2Pd
1.0
3.948 0.000 0.000
0.000 11.409 0.000
0.000 0.000 21.651
Y Te Pd
24 8 4
direct
0.750 0.623 0.477
0.750 0.877 0.977
0.250 0.123 0.023
0.750 0.836 0.609
0.750 0.584 0.851
0.250 0.757 0.734
0.750 0.953 0.152
0.250 0.615 0.985
0.750 0.385 0.015
0.250 0.047 0.848
0.750 0.547 0.652
0.250 0.453 0.348
0.750 0.664 0.109
0.750 0.916 0.351
0.250 0.164 0.391
0.250 0.743 0.234
0.250 0.377 0.523
0.250 0.084 0.649
0.250 0.885 0.485
0.250 0.336 0.891
0.750 0.257 0.766
0.750 0.243 0.266
0.750 0.115 0.515
0.250 0.416 0.149
0.750 0.285 0.627
0.250 0.715 0.373
0.750 0.215 0.127
0.250 0.785 0.873
0.750 0.973 0.741
0.250 0.027 0.259
0.250 0.473 0.759
0.750 0.527 0.241
0.750 0.340 0.426
0.750 0.160 0.926
0.250 0.840 0.074
0.250 0.660 0.574
```

Properties
total DFT energy (no corrections)	-246.41	eV per cell
spin magnetization	0.000	μB/atom
energy relative to the elements, uncorrected	-851	meV/atom



Entry 2:
Material: BaP2Ir
Method: DFT, GGA-PBEsol
State: relaxed

The structure in POSCAR format:
```
BaP2Ir
1.0
-1.783 -0.434 3.065
4.237 -1.834 0.122
0.830 5.625 1.279
Ir P Ba
1 2 1
direct
0.717 0.434 0.091
0.282 0.564 0.880
0.008 0.016 0.020
0.493 0.985 0.509
```

Properties
total DFT energy (no corrections)	-25.22	eV per cell
spin magnetization	0.000	μB/atom
ΔE_f	-415.5	meV/atom



Entry 3:
Material: PrFeSi2
Method: DFT, GGA-PBEsol
State: relaxed

The structure in POSCAR format:
```
PrFeSi2
1.0
3.993 0.000 0.000
0.000 4.069 0.000
0.000 2.035 8.398
Pr Si Fe
2 4 2
direct
0.750 0.893 0.215
0.250 0.107 0.785
0.250 0.311 0.379
0.250 0.462 0.077
0.750 0.538 0.923
0.750 0.689 0.621
0.750 0.251 0.499
0.250 0.749 0.501
```

Properties
total DFT energy (no corrections)	-56.97	eV per cell
spin magnetization	0.000	μB/atom
energy relative to the elements, uncorrected	-711	meV/atom



Entry 4:
Material: AgGePt3
Method: DFT, GGA-PBEsol
State: relaxed

The structure in POSCAR format:
```
AgGePt3
1.0
-2.912 -3.471 1.566
2.304 -0.036 4.204
-3.032 3.307 1.690
Ag Pt Ge
1 3 1
direct
0.000 0.000 0.000
0.500 0.000 0.000
0.000 0.000 0.500
0.000 0.500 0.000
0.500 0.500 0.500
```

Properties
total DFT energy (no corrections)	-21.35	eV per cell
spin magnetization	0.000	μB/atom
ΔE_f	1558.8	meV/atom



Entry 5:
Material: Ti2TlC
Method: DFT, GGA-PBEsol
State: relaxed

The structure in POSCAR format:
```
Ti2TlC
1.0
-1.219 1.826 -2.240
1.419 -2.689 -0.769
-12.227 -6.775 1.129
C Ti Tl
2 4 2
direct
0.000 0.000 0.000
0.000 0.000 0.500
0.333 0.667 0.078
0.667 0.333 0.922
0.667 0.333 0.578
0.333 0.667 0.422
0.333 0.667 0.750
0.667 0.333 0.250
```

Properties
total DFT energy (no corrections)	-63.10	eV per cell
spin magnetization	0.000	μB/atom
ΔE_f	-658.5	meV/atom



Entry 6:
Material: SrTaNO2
Method: DFT, GGA-PBEsol
State: relaxed

The structure in POSCAR format:
```
SrTaNO2
1.0
-1.622 3.381 4.345
-4.912 -4.623 1.744
5.923 -1.459 3.366
Sr N O Ta
4 4 8 4
direct
0.500 0.500 0.000
0.000 0.256 0.256
0.500 0.000 0.500
0.000 0.744 0.744
0.251 0.373 0.627
0.224 0.112 0.888
0.776 0.888 0.112
0.749 0.627 0.373
0.716 0.138 0.862
0.000 0.000 0.500
0.000 0.500 0.000
0.747 0.377 0.623
0.253 0.623 0.377
0.500 0.750 0.750
0.284 0.862 0.138
0.500 0.250 0.250
0.500 0.000 0.000
0.021 0.247 0.753
0.979 0.753 0.247
0.500 0.500 0.500
```

Properties
total DFT energy (no corrections)	-182.94	eV per cell
spin magnetization	0.000	μB/atom
energy relative to the elements, uncorrected	-2463	meV/atom



Entry 7:
Material: In3MoN
Method: DFT, GGA-PBEsol
State: relaxed

The structure in POSCAR format:
```
In3MoN
1.0
5.232 0.000 0.000
0.000 5.232 0.000
0.000 0.000 5.232
N In Mo
1 3 1
direct
0.500 0.500 0.500
0.000 0.500 0.000
0.500 0.000 0.000
0.000 0.000 0.500
0.000 0.000 0.000
```

Properties
total DFT energy (no corrections)	-21.40	eV per cell
spin magnetization	0.715	μB/atom
energy relative to the elements, uncorrected	1569	meV/atom



Entry 8:
Material: LiCa3In
Method: DFT, GGA-PBEsol
State: relaxed

The structure in POSCAR format:
```
LiCa3In
1.0
5.981 0.000 0.000
0.000 5.981 0.000
0.000 0.000 5.981
Ca Li In
3 1 1
direct
0.500 0.000 0.000
0.000 0.500 0.000
0.000 0.000 0.500
0.500 0.500 0.500
0.000 0.000 0.000
```

Properties
total DFT energy (no corrections)	-11.06	eV per cell
spin magnetization	0.000	μB/atom
ΔE_f	57.6	meV/atom



What is the formula in the first record?
Y6Te2Pd



What is the spin magnetization in the third record?
0.000 μB/atom



Which formula does entry 7 have?
In3MoN